First-principles (PBE) data for an optimized crystal structure of BeFeGeC2, as listed in Alexandria via LeMat-Bulk.

Unit cell a=3.4838 b=3.4838 c=4.4717 alpha=90.00 beta=90.00 gamma=90.00
With the nearest neighbours (Å) after each atom.
Space group P4/mmm (No. 123)
Symmetry-distinct sites (fractional):
Be  0.0000  0.0000  0.0000 [1 per cell]  4 C 1.74
Fe  0.0000  0.0000  0.5000 [1 per cell]  2 Be 2.24, 4 Ge 2.46
Ge  0.5000  0.5000  0.5000 [1 per cell]  4 Fe 2.46
C  0.0000  0.5000  0.0000 [2 per cell]  2 Be 1.74

Results
The value obtained for the formation energy is 1685 meV per atom. Its calculated total energy is -26.829 eV/f.u. As for the density of states at the Fermi level: 3.884 states/eV/f.u.